Entry 1:
Computed, not measured: BiMo after structural relaxation at the GGA-PBE level of DFT.

Output
Excess energy over the best structure of this formula in the dataset ... 409 meV per atom
Electronic total energy ... -6.679 eV/atom
SG ... No. 187
Magnetization ... 0.02 Bohr magnetons per cell
Calculated density ... 12.01 g cm⁻³

Geometry as POSCAR:
```
BiMo
1.0
-1.689 2.038 2.231
2.371 -2.241 1.157
2.880 2.835 -0.410
Mo Bi
1 1
Cartesian
1.738 -0.106 1.412 Mo
1.824 2.738 1.565 Bi
```



Entry 2:
Computed, not measured: Bi2Mo after structural relaxation at the GGA-PBE level of DFT.

Output
Excess energy over the best structure of this formula in the dataset ... 190 meV per atom
Electronic total energy ... -5.828 eV/atom
SG ... No. 58
Magnetization ... 0.01 Bohr magnetons per cell
Calculated density ... 10.82 g cm⁻³

Geometry as POSCAR:
```
Bi2Mo
1.0
7.224 0.000 0.000
0.000 6.340 0.000
0.000 0.000 3.444
Bi Mo
4 2
Cartesian
2.492 5.036 1.722 Bi
4.732 1.304 1.722 Bi
6.104 4.474 0.000 Bi
1.120 1.866 0.000 Bi
3.612 3.170 0.000 Mo
0.000 0.000 1.722 Mo
```



Entry 3:
Computed, not measured: Bi2Mo after structural relaxation at the GGA-PBE level of DFT.

Output
Excess energy over the best structure of this formula in the dataset ... 75 meV per atom
Electronic total energy ... -5.943 eV/atom
SG ... No. 140
Magnetization ... 0.00 Bohr magnetons per cell
Calculated density ... 11.96 g cm⁻³

Geometry as POSCAR:
```
Bi2Mo
1.0
3.538 3.538 2.852
3.538 -3.538 -2.852
-3.538 3.538 -2.852
Mo Bi
2 4
Cartesian
0.000 0.000 -4.277 Mo
0.000 0.000 -1.426 Mo
1.122 2.415 0.000 Bi
-1.122 2.415 -2.852 Bi
2.415 1.122 -2.852 Bi
4.660 1.122 0.000 Bi
```



Entry 4:
Computed, not measured: Bi2Mo after structural relaxation at the GGA-PBE level of DFT.

Output
Excess energy over the best structure of this formula in the dataset ... 797 meV per atom
Electronic total energy ... -5.221 eV/atom
SG ... No. 227
Magnetization ... 0.05 Bohr magnetons per cell
Calculated density ... 4.01 g cm⁻³

Geometry as POSCAR:
```
Bi2Mo
1.0
4.223 2.438 6.896
-4.223 2.438 6.896
0.000 -4.876 6.896
Bi Mo
4 2
Cartesian
2.111 1.219 11.205 Bi
0.000 0.000 7.757 Bi
0.000 -2.438 11.205 Bi
-2.111 1.219 11.205 Bi
0.000 0.000 10.343 Mo
0.000 0.000 5.172 Mo
```



Entry 5:
Computed, not measured: BiMo after structural relaxation at the GGA-PBE level of DFT.

Output
Excess energy over the best structure of this formula in the dataset ... 0 meV per atom
Electronic total energy ... -7.088 eV/atom
SG ... No. 51
Magnetization ... 0.01 Bohr magnetons per cell
Calculated density ... 10.79 g cm⁻³

Geometry as POSCAR:
```
BiMo
1.0
5.426 0.000 0.000
0.000 4.388 0.000
0.000 0.000 7.883
Mo Bi
4 4
Cartesian
4.070 0.000 2.980 Mo
1.357 0.000 4.903 Mo
2.713 2.194 3.942 Mo
0.000 2.194 3.942 Mo
4.070 2.194 0.991 Bi
1.357 0.000 1.978 Bi
4.070 0.000 5.905 Bi
1.357 2.194 6.893 Bi
```



Entry 6:
Computed, not measured: BiMo after structural relaxation at the GGA-PBE level of DFT.

Output
Excess energy over the best structure of this formula in the dataset ... 755 meV per atom
Electronic total energy ... -6.334 eV/atom
SG ... No. 225
Magnetization ... 2.65 Bohr magnetons per cell
Calculated density ... 10.20 g cm⁻³

Geometry as POSCAR:
```
BiMo
1.0
0.000 2.917 2.917
2.917 0.000 2.917
2.917 2.917 0.000
Mo Bi
1 1
Cartesian
2.917 2.917 2.917 Mo
0.000 0.000 0.000 Bi
```



Entry 7:
Computed, not measured: BiMo after structural relaxation at the GGA-PBE level of DFT.

Output
Excess energy over the best structure of this formula in the dataset ... 281 meV per atom
Electronic total energy ... -6.808 eV/atom
SG ... No. 194
Magnetization ... 0.02 Bohr magnetons per cell
Calculated density ... 10.94 g cm⁻³

Geometry as POSCAR:
```
BiMo
1.0
4.526 0.000 0.000
-2.263 3.920 0.000
0.000 0.000 5.216
Bi Mo
2 2
Cartesian
0.000 2.613 3.912 Bi
2.263 1.307 1.304 Bi
0.000 0.000 2.608 Mo
0.000 0.000 0.000 Mo
```



Entry 8:
Computed, not measured: BiMo after structural relaxation at the GGA-PBE level of DFT.

Output
Excess energy over the best structure of this formula in the dataset ... 1109 meV per atom
Electronic total energy ... -5.979 eV/atom
SG ... No. 216
Magnetization ... 2.40 Bohr magnetons per cell
Calculated density ... 7.76 g cm⁻³

Geometry as POSCAR:
```
BiMo
1.0
0.000 3.195 3.195
3.195 0.000 3.195
3.195 3.195 0.000
Bi Mo
1 1
Cartesian
0.000 0.000 0.000 Bi
1.598 1.598 1.598 Mo
```



Entry 9:
Computed, not measured: BiMo2N after structural relaxation at the GGA-PBE level of DFT.

Output
Electronic total energy ... -8.301 eV/atom
SG ... No. 63
Magnetization ... 0.02 Bohr magnetons per cell
Calculated density ... 10.79 g cm⁻³

Geometry as POSCAR:
```
BiMo2N
1.0
5.855 0.000 0.000
2.927 5.073 0.000
2.927 -1.675 12.902
Mo N Bi
12 6 6
Cartesian
8.291 -0.829 11.972 Mo
6.345 2.545 5.521 Mo
3.415 0.843 0.933 Mo
8.294 2.555 11.969 Mo
3.415 0.856 5.518 Mo
2.440 -0.835 7.382 Mo
5.364 0.853 7.382 Mo
8.294 2.542 7.385 Mo
5.367 0.859 11.971 Mo
3.418 4.227 0.931 Mo
9.269 4.233 5.520 Mo
6.342 2.539 0.931 Mo
4.391 -0.837 6.451 N
4.391 2.536 0.000 N
7.317 0.853 6.450 N
7.320 4.226 0.000 N
4.393 2.546 6.452 N
1.462 0.846 0.000 N
5.372 4.231 3.227 Bi
6.337 2.549 9.677 Bi
9.265 0.857 9.678 Bi
6.338 -0.833 9.675 Bi
5.373 0.850 3.226 Bi
2.444 2.541 3.224 Bi
```



Entry 10:
Computed, not measured: BiMo2N after structural relaxation at the GGA-PBE level of DFT.

Output
Electronic total energy ... -8.301 eV/atom
SG ... No. 194
Magnetization ... 0.01 Bohr magnetons per cell
Calculated density ... 10.78 g cm⁻³

Geometry as POSCAR:
```
BiMo2N
1.0
-1.131 -0.531 3.144
3.289 -0.372 -0.700
2.006 12.423 2.820
Bi Mo N
2 4 2
Cartesian
3.320 8.892 2.696 Bi
0.844 2.628 2.568 Bi
1.960 0.470 0.784 Mo
2.204 11.050 4.479 Mo
2.674 4.891 1.788 Mo
1.490 6.628 3.476 Mo
0.000 0.000 0.000 N
1.003 6.211 1.410 N
```



Entry 11:
Computed, not measured: NiBiMo4N2 after structural relaxation at the GGA-PBE level of DFT.

Output
Electronic total energy ... -8.540 eV/atom
SG ... No. 187
Magnetization ... 0.02 Bohr magnetons per cell
Calculated density ... 9.80 g cm⁻³

Geometry as POSCAR:
```
NiBiMo4N2
1.0
3.272 0.000 0.000
-1.636 2.834 0.000
0.000 0.000 12.413
Bi Ni Mo N
1 1 4 2
Cartesian
0.000 0.000 0.000 Bi
0.000 1.889 6.206 Ni
0.000 0.000 4.488 Mo
0.000 1.889 2.494 Mo
0.000 0.000 7.925 Mo
0.000 1.889 9.918 Mo
1.636 0.945 3.343 N
1.636 0.945 9.070 N
```



Entry 12:
Computed, not measured: Sc2Bi3Mo4N3 after structural relaxation at the GGA-PBE level of DFT.

Output
Electronic total energy ... -8.043 eV/atom
SG ... No. 15
Magnetization ... 0.03 Bohr magnetons per cell
Calculated density ... 9.56 g cm⁻³

Geometry as POSCAR:
```
Sc2Bi3Mo4N3
1.0
-0.465 4.892 -3.209
-3.466 4.369 1.830
11.443 2.383 7.061
Mo Bi N Sc
8 6 6 4
Cartesian
4.338 3.100 2.286 Mo
9.520 4.198 6.723 Mo
6.919 10.482 5.673 Mo
3.174 8.544 3.396 Mo
-2.007 7.447 -1.041 Mo
0.593 1.163 0.009 Mo
5.909 2.284 4.220 Mo
1.603 9.361 1.462 Mo
5.336 6.195 6.758 Bi
2.176 5.450 -1.076 Bi
1.336 3.592 1.811 Bi
7.618 4.881 4.401 Bi
6.176 8.053 3.871 Bi
-0.106 6.764 1.282 Bi
-1.552 5.507 -2.024 N
-0.233 2.446 -1.605 N
3.989 3.376 4.446 N
9.064 6.137 7.706 N
4.801 5.200 1.727 N
2.711 6.445 3.956 N
8.011 7.358 6.141 Sc
-0.499 4.287 -0.459 Sc
2.819 6.258 1.721 Sc
4.694 5.386 3.961 Sc
```



Entry 13:
Computed, not measured: Sc4Bi3Mo2N3 after structural relaxation at the GGA-PBE level of DFT.

Output
Electronic total energy ... -7.750 eV/atom
SG ... No. 15
Magnetization ... 0.01 Bohr magnetons per cell
Calculated density ... 8.44 g cm⁻³

Geometry as POSCAR:
```
Sc4Bi3Mo2N3
1.0
-2.511 1.262 5.180
-1.479 -4.357 3.682
13.562 1.710 2.934
Sc N Mo Bi
8 6 4 6
Cartesian
4.862 -1.827 8.427 Sc
11.649 0.438 4.606 Sc
2.044 -1.508 9.265 Sc
4.710 0.442 3.368 Sc
0.552 0.329 1.346 Sc
9.020 -1.714 10.449 Sc
7.528 0.123 2.530 Sc
-2.077 -1.824 7.189 Sc
4.709 -2.442 6.287 N
6.042 -1.324 3.308 N
-1.256 0.631 2.590 N
4.864 1.057 5.508 N
12.188 -1.042 6.188 N
-2.615 -0.344 5.607 N
10.511 -0.536 7.515 Mo
-0.939 -0.850 4.280 Mo
3.576 -0.551 6.272 Mo
5.997 -0.834 5.523 Mo
2.088 -1.060 3.613 Bi
7.484 -0.325 8.182 Bi
0.980 1.144 5.768 Bi
0.863 -2.051 6.483 Bi
8.709 0.665 5.312 Bi
8.593 -2.529 6.027 Bi
```



Entry 14:
Computed, not measured: SnBiMo4N2 after structural relaxation at the GGA-PBE level of DFT.

Output
Electronic total energy ... -8.407 eV/atom
SG ... No. 187
Magnetization ... 0.00 Bohr magnetons per cell
Calculated density ... 9.89 g cm⁻³

Geometry as POSCAR:
```
SnBiMo4N2
1.0
-2.299 -2.220 0.868
3.167 -0.924 -0.294
2.001 2.853 12.599
Mo N Bi Sn
4 2 1 1
Cartesian
0.661 0.942 4.160 Mo
-0.113 -1.268 2.775 Mo
1.340 1.911 8.439 Mo
1.159 0.545 10.785 Mo
2.844 0.781 9.533 N
1.846 -0.641 3.253 N
0.000 0.000 0.000 Bi
0.523 -0.362 6.780 Sn
```



Entry 15:
Computed, not measured: Ta2Bi3Mo4N3 after structural relaxation at the GGA-PBE level of DFT.

Output
Electronic total energy ... -8.637 eV/atom
SG ... No. 15
Magnetization ... 0.00 Bohr magnetons per cell
Calculated density ... 11.66 g cm⁻³

Geometry as POSCAR:
```
Ta2Bi3Mo4N3
1.0
-4.655 2.972 -2.336
-5.028 1.075 3.086
7.933 10.307 4.150
Mo N Bi Ta
8 6 6 4
Cartesian
5.413 10.517 3.278 Mo
-0.581 1.284 0.522 Mo
1.352 4.884 2.574 Mo
-3.102 9.469 2.326 Mo
-7.163 3.836 1.622 Mo
-1.169 13.070 4.378 Mo
3.399 6.507 2.397 Mo
-5.149 7.846 2.503 Mo
-1.660 8.167 1.570 N
-2.514 0.538 1.543 N
1.639 6.639 0.907 N
4.019 12.067 3.324 N
-0.090 6.186 3.330 N
-5.769 2.286 1.575 N
-4.482 5.323 1.088 Bi
2.732 9.030 3.812 Bi
-0.572 10.188 3.989 Bi
-3.016 3.797 3.708 Bi
-1.178 4.166 0.910 Bi
1.266 10.556 1.192 Bi
-2.175 6.607 2.858 Ta
0.425 7.746 2.042 Ta
-3.626 2.161 1.203 Ta
1.876 12.192 3.697 Ta
```



Entry 16:
Computed, not measured: Bi3Mo2W4N3 after structural relaxation at the GGA-PBE level of DFT.

Output
Electronic total energy ... -8.881 eV/atom
SG ... No. 15
Magnetization ... 0.00 Bohr magnetons per cell
Calculated density ... 12.87 g cm⁻³

Geometry as POSCAR:
```
Bi3Mo2W4N3
1.0
4.860 -3.128 0.000
4.860 3.128 0.000
-3.269 0.000 13.548
Bi N Mo W
6 6 4 8
Cartesian
4.059 0.459 9.683 Bi
5.693 -0.459 2.909 Bi
2.409 -2.575 10.161 Bi
2.394 -0.459 3.865 Bi
4.043 2.575 3.387 Bi
0.759 0.459 10.639 Bi
-1.634 0.000 6.774 N
1.926 0.468 7.135 N
4.527 -0.468 6.413 N
2.892 0.468 13.187 N
3.560 -0.468 0.361 N
0.000 0.000 0.000 N
0.369 0.795 5.775 Mo
-1.266 -0.795 12.549 Mo
6.084 -0.795 7.773 Mo
7.718 0.795 0.999 Mo
3.392 1.368 5.996 W
2.075 0.665 1.112 W
3.060 -1.368 7.552 W
4.377 -0.665 12.436 W
0.441 -0.665 7.885 W
4.694 1.368 0.778 W
6.012 0.665 5.662 W
1.758 -1.368 12.770 W
```



Entry 17:
Computed, not measured: Y4Bi3Mo2N3 after structural relaxation at the GGA-PBE level of DFT.

Output
Electronic total energy ... -7.715 eV/atom
SG ... No. 15
Magnetization ... 0.03 Bohr magnetons per cell
Calculated density ... 8.63 g cm⁻³

Geometry as POSCAR:
```
Y4Bi3Mo2N3
1.0
6.146 0.000 0.000
3.036 5.344 0.000
2.890 1.683 14.248
Bi Y N Mo
6 8 6 4
Cartesian
6.932 3.520 3.519 Bi
7.950 1.886 10.686 Bi
4.122 5.140 3.562 Bi
4.142 1.896 3.606 Bi
5.139 3.507 10.729 Bi
7.929 5.131 10.643 Bi
1.935 1.784 5.898 Y
9.990 5.264 13.026 Y
2.082 1.762 1.222 Y
3.952 1.643 13.022 Y
10.136 5.242 8.350 Y
8.120 5.383 1.226 Y
4.006 1.781 8.346 Y
8.066 5.245 5.902 Y
2.963 3.513 7.124 N
9.057 3.445 14.246 N
6.048 1.693 7.127 N
3.015 3.581 0.003 N
3.073 0.000 0.000 N
6.024 5.333 7.122 N
6.899 3.518 8.048 Mo
5.022 3.420 0.923 Mo
7.050 3.606 13.325 Mo
5.173 3.508 6.200 Mo
```



Entry 18:
Computed, not measured: ZnBiMo4N2 after structural relaxation at the GGA-PBE level of DFT.

Output
Electronic total energy ... -8.038 eV/atom
SG ... No. 187
Magnetization ... 0.01 Bohr magnetons per cell
Calculated density ... 9.61 g cm⁻³

Geometry as POSCAR:
```
ZnBiMo4N2
1.0
3.241 0.000 0.000
-1.620 2.807 0.000
0.000 0.000 13.039
Mo Zn N Bi
4 1 2 1
Cartesian
0.000 1.871 2.025 Mo
1.620 0.936 4.038 Mo
0.000 1.871 11.015 Mo
1.620 0.936 9.001 Mo
1.620 0.936 0.000 Zn
0.000 0.000 9.890 N
0.000 0.000 3.149 N
0.000 1.871 6.520 Bi
```



Entry 19:
Computed, not measured: Zr4Bi3Mo2N3 after structural relaxation at the GGA-PBE level of DFT.

Output
Electronic total energy ... -8.310 eV/atom
SG ... No. 15
Magnetization ... 0.05 Bohr magnetons per cell
Calculated density ... 9.58 g cm⁻³

Geometry as POSCAR:
```
Zr4Bi3Mo2N3
1.0
5.211 -2.989 0.000
5.211 2.989 0.000
-3.518 0.000 13.644
Zr Bi N Mo
8 6 6 4
Cartesian
7.762 -0.456 1.107 Zr
0.902 -0.456 5.715 Zr
6.037 0.565 12.537 Zr
7.796 -0.565 5.715 Zr
6.003 0.456 7.929 Zr
-0.892 0.565 7.929 Zr
0.867 -0.565 1.107 Zr
-0.857 0.456 12.537 Zr
4.332 -2.416 3.411 Bi
2.573 2.416 10.233 Bi
0.897 -0.464 10.226 Bi
4.249 -0.464 10.240 Bi
2.656 0.464 3.404 Bi
6.008 0.464 3.418 Bi
2.557 -1.528 6.826 N
4.347 1.528 6.818 N
2.606 -1.495 0.000 N
0.847 1.495 6.822 N
4.316 1.528 0.004 N
2.588 -1.528 13.640 N
2.468 0.457 12.716 Mo
4.227 -0.457 5.894 Mo
4.436 -0.457 0.928 Mo
2.677 0.457 7.750 Mo
```



Entry 20:
Computed, not measured: NaBi5Mo3 after structural relaxation at the GGA-PBE level of DFT.

Output
Electronic total energy ... -5.787 eV/atom
SG ... No. 191
Magnetization ... 0.01 Bohr magnetons per cell
Calculated density ... 9.00 g cm⁻³

Geometry as POSCAR:
```
NaBi5Mo3
1.0
5.684 0.000 0.000
-2.842 4.923 0.000
0.000 0.000 8.940
Bi Mo Na
5 3 1
Cartesian
0.000 3.282 1.974 Bi
2.842 1.641 6.966 Bi
0.000 0.000 4.470 Bi
2.842 1.641 1.974 Bi
0.000 3.282 6.966 Bi
2.842 0.000 4.470 Mo
-1.421 2.461 4.470 Mo
1.421 2.461 4.470 Mo
0.000 0.000 0.000 Na
```